1.
The following is a PBE calculation of crystalline TaAlSb2 at its relaxed geometry, from Alexandria via LeMat-Bulk.

The structure in POSCAR format:
```
TaAlSb2
1.0
3.0438 0.0000 0.0000
0.0000 3.7722 0.0000
0.0000 0.0000 8.0821
Sb Al Ta
2 1 1
Cartesian
0.0000 0.0000 7.5080 Sb
1.5219 1.8861 2.5717 Sb
1.5219 1.8861 5.7417 Al
0.0000 0.0000 4.3838 Ta
```


2.
The following is a PBE calculation of crystalline Ta2AlSb at its relaxed geometry, from Alexandria via LeMat-Bulk.

The structure in POSCAR format:
```
Ta2AlSb
1.0
-3.5633 0.3795 3.0791
-0.3648 -3.0616 3.5799
0.8429 1.4274 4.4243
Sb Al Ta
1 1 2
Cartesian
-2.3139 -0.9411 8.3125 Sb
-1.5426 -0.6274 5.5417 Al
0.0000 0.0000 0.0000 Ta
-0.7713 -0.3137 2.7708 Ta
```

E above lowest polymorph: 0.4073 eV per atom


3.
The following is a PBE calculation of crystalline Ta2AlSb at its relaxed geometry, from Alexandria via LeMat-Bulk.

The structure in POSCAR format:
```
Ta2AlSb
1.0
-2.4969 7.6627 5.1163
-1.1944 5.9487 7.3699
0.5882 7.7444 5.5504
Sb Al Ta
1 1 2
Cartesian
-2.3179 15.9523 13.4729 Sb
-1.5708 10.8104 9.1302 Al
-3.0964 21.3098 17.9977 Ta
-0.7726 5.3171 4.4907 Ta
```

E above lowest polymorph: 0.2774 eV per atom


Number 1: VASP energy -5.871 eV/atom. Number 2: VASP energy -7.590 eV/atom. Number 3: VASP energy -7.720 eV/atom.